No. 1
A plane-wave DFT calculation with PBE was carried out for an optimized crystal structure of ZnTeW2.

Results
Magnetization = 0.0 Bohr magnetons per cell
Energy relative to the elements, uncorrected = 0.799 eV per atom
Calculated total energy = -6.781 eV per atom

Cell: 6.4525 6.4525 6.4525 Å, 90.00 90.00 90.00°
Last column: nearest neighbours and their distance in Å.
Space group Fm-3m (No. 225)
Asymmetric unit:
1 Zn 0.0000 0.0000 0.0000 [4 per cell]  8 W 2.79
2 Te 0.0000 0.0000 0.5000 [4 per cell]  8 W 2.79
3 W 0.2500 0.2500 0.2500 [8 per cell]  4 Te 2.79, 4 Zn 2.79

No. 2
A plane-wave DFT calculation with PBE was carried out for an optimized crystal structure of Zn4TeW.

Results
Magnetization = 0.0 Bohr magnetons per cell
Energy relative to the elements, uncorrected = 0.423 eV per atom
Calculated total energy = -3.109 eV per atom

Cell: 7.2763 7.2763 7.2763 Å, 90.00 90.00 90.00°
Last column: nearest neighbours and their distance in Å.
Space group F-43m (No. 216)
Asymmetric unit:
1 Zn 0.1230 0.1230 0.3770 [16 per cell]  6 Zn 2.53-2.61
2 Te 0.0000 0.0000 0.0000 [4 per cell]  12 Zn 3.02, 4 W 3.15
3 W 0.2500 0.2500 0.7500 [4 per cell]  12 Zn 3.01, 4 Te 3.15

No. 3
A plane-wave DFT calculation with PBE was carried out for an optimized crystal structure of ZnTe2W.

Results
Magnetization = 0.0 Bohr magnetons per cell
Energy relative to the elements, uncorrected = 0.348 eV per atom
Calculated total energy = -4.780 eV per atom

Cell: 3.2270 3.2270 32.0734 Å, 90.00 90.00 120.00°
Last column: nearest neighbours and their distance in Å.
Space group R3m (No. 160, hexagonal axes)
Asymmetric unit:
1 Zn 0.0000 0.0000 0.0000 [3 per cell]  3 W 2.75
2 Te 0.0000 0.0000 0.5427 [3 per cell]  3 W 2.69
3 Te 0.0000 0.0000 0.7526 [3 per cell]  6 Te 3.23, 3 Zn 3.33
4 W 0.0000 0.0000 0.2701 [3 per cell]  3 Te 2.69, 3 Zn 2.75

No. 4
A plane-wave DFT calculation with PBE was carried out for an optimized crystal structure of ZnTe2W.

Results
Magnetization = 0.0 Bohr magnetons per cell
Energy relative to the elements, uncorrected = 0.321 eV per atom
Calculated total energy = -4.807 eV per atom

Cell: 3.4028 3.4028 7.9171 Å, 90.00 90.00 90.00°
Last column: nearest neighbours and their distance in Å.
Space group P4mm (No. 99)
Asymmetric unit:
1 Zn 0.0000 0.0000 0.0000 [1 per cell]  4 W 2.74, 5 Te 2.87-2.92
2 Te 0.0000 0.0000 0.6318 [1 per cell]  4 W 2.89, 1 Zn 2.92
3 Te 0.5000 0.5000 0.1978 [1 per cell]  4 Zn 2.87, 1 W 2.88
4 W 0.5000 0.5000 0.8338 [1 per cell]  4 Zn 2.74, 5 Te 2.88-2.89

No. 5
A plane-wave DFT calculation with PBE was carried out for an optimized crystal structure of ZnTe2W.

Results
Magnetization = 1.9 Bohr magnetons per cell
Energy relative to the elements, uncorrected = 0.745 eV per atom
Calculated total energy = -4.383 eV per atom

Cell: 6.2060 7.6538 3.4662 Å, 90.00 90.42 90.00°
Last column: nearest neighbours and their distance in Å.
Space group C2/m (No. 12)
Asymmetric unit:
1 Zn 0.0000 0.0000 0.0000 [2 per cell]  8 Te 3.01-3.02, 2 W 3.10
2 Te 0.2500 0.2500 0.5000 [4 per cell]  4 Zn 3.01-3.02, 4 W 3.01-3.02, 2 Te 3.10
3 W 0.0000 0.5000 0.0000 [2 per cell]  8 Te 3.01-3.02, 2 Zn 3.10

No. 6
A plane-wave DFT calculation with PBE was carried out for an optimized crystal structure of ZnTeW2.

Results
Magnetization = 0.0 Bohr magnetons per cell
Energy relative to the elements, uncorrected = 0.841 eV per atom
Calculated total energy = -6.740 eV per atom

Cell: 5.6429 8.9322 2.9820 Å, 90.00 111.19 90.00°
Last column: nearest neighbours and their distance in Å.
Space group C2/m (No. 12)
Asymmetric unit:
1 Zn 0.0000 0.0000 0.0000 [2 per cell]  4 W 2.77, 2 Te 2.82, 2 Zn 2.98
2 Te 0.0000 0.5000 0.0000 [2 per cell]  4 W 2.77, 2 Zn 2.82, 2 Te 2.98
3 W 0.2500 0.2500 0.5000 [4 per cell]  2 Te 2.77, 2 Zn 2.77, 4 W 2.82-2.98

No. 7
A plane-wave DFT calculation with PBE was carried out for an optimized crystal structure of ZnTeW2.

Results
Magnetization = 0.0 Bohr magnetons per cell
Energy relative to the elements, uncorrected = 0.778 eV per atom
Calculated total energy = -6.803 eV per atom

Cell: 3.2979 4.5555 4.6547 Å, 90.00 90.00 90.00°
Last column: nearest neighbours and their distance in Å.
Space group Pmmm (No. 47)
Asymmetric unit:
1 Zn 0.0000 0.0000 0.0000 [1 per cell]  4 W 2.81, 4 Te 2.85
2 Te 0.5000 0.0000 0.5000 [1 per cell]  4 W 2.81, 4 Zn 2.85
3 W 0.0000 0.5000 0.5000 [1 per cell]  4 Te 2.81, 4 W 2.85
4 W 0.5000 0.5000 0.0000 [1 per cell]  4 Zn 2.81, 4 W 2.85

No. 8
A plane-wave DFT calculation with PBE was carried out for an optimized crystal structure of ZnTe4W.

Results
Magnetization = 16.6 Bohr magnetons per cell
Energy relative to the elements, uncorrected = 1.296 eV per atom
Calculated total energy = -3.169 eV per atom

Cell: 8.8776 8.8776 8.8776 Å, 90.00 90.00 90.00°
Last column: nearest neighbours and their distance in Å.
Space group F-43m (No. 216)
Asymmetric unit:
1 Zn 0.0000 0.0000 0.0000 [4 per cell]  12 Te 3.68, 4 W 3.84
2 Te 0.1241 0.1241 0.6241 [16 per cell]  6 Te 3.12-3.16
3 W 0.2500 0.2500 0.2500 [4 per cell]  12 Te 3.68, 4 Zn 3.84